Entry 1:
This record from Alexandria via LeMat-Bulk describes a relaxed BaV3Hg crystal. The functional is PBE.

extended XYZ file:
```
5
Lattice="5.2688 0.0000 0.0000 0.0000 5.2688 0.0000 0.0000 0.0000 5.2688" Properties=species:S:1:pos:R:3 pbc="T T T"
V 0.0000 2.6344 0.0000
V 2.6344 0.0000 0.0000
V 0.0000 0.0000 2.6344
Hg 0.0000 0.0000 0.0000
Ba 2.6344 2.6344 2.6344
```

Output
- ΔH_f (0 K) (eV per atom) = 1.250
- polymorph energy (0 for the lowest one) (meV per atom) = 0
- energy (eV for the cell shown) = -23.33



Entry 2:
This record from Alexandria via LeMat-Bulk describes a relaxed DyAgSeO4 crystal. The functional is PBE.

extended XYZ file:
```
14
Lattice="7.2291 0.0000 0.0000 3.6145 5.4335 -0.4388 3.6145 1.2374 5.3089" Properties=species:S:1:pos:R:3 pbc="T T T"
O 7.2291 2.1529 1.0437
O 7.2291 4.5180 3.8264
O 5.0574 2.2982 3.8806
Se 7.2291 2.8815 4.3064
Ag 1.8073 0.6187 2.6544
Se 7.2291 3.7894 0.5637
O 10.8436 4.9854 4.1676
O 5.0574 4.3726 0.9895
Ag 5.4218 0.6187 2.6544
Dy 3.6145 3.3354 2.4350
O 9.4007 4.3726 0.9895
O 3.6145 1.6854 0.7025
Dy 0.0000 0.0000 0.0000
O 9.4008 2.2982 3.8806
```

Output
- energy relative to the elements, uncorrected (meV per atom) = -1537
- energy (eV for the cell shown) = -83.06



Entry 3:
This record from Alexandria via LeMat-Bulk describes a relaxed ZrTlIr2F crystal. The functional is PBE.

extended XYZ file:
```
5
Lattice="-4.0211 -0.3942 -3.0173 -1.8409 -2.3955 2.7663 -2.0308 4.0715 2.1744" Properties=species:S:1:pos:R:3 pbc="T T T"
F -0.9204 -1.1978 1.3831
Tl -3.9464 0.6409 0.9617
Ir -2.0105 -0.1971 -1.5087
Zr 0.0000 0.0000 0.0000
Ir -1.0154 2.0357 1.0872
```

Output
- energy relative to the elements, uncorrected (meV per atom) = -95
- energy (eV for the cell shown) = -30.98



Entry 4:
This record from Alexandria via LeMat-Bulk describes a relaxed Nd3Dy2Y6 crystal. The functional is PBE.

extended XYZ file:
```
11
Lattice="1.4661 -0.2782 6.0323 -1.5406 -5.0216 3.3436 10.5292 -4.9440 -0.6069" Properties=species:S:1:pos:R:3 pbc="T T T"
Y 3.0240 -3.0911 4.4634
Dy 5.9759 -4.3709 5.8375
Nd -0.0600 -3.5552 6.2520
Y 7.4597 -5.3769 1.1797
Y 7.4306 -7.1526 4.3056
Y 2.9950 -4.8668 7.5892
Y 3.0424 -1.3264 1.3478
Dy 4.4787 -5.8728 2.9314
Nd -0.0146 -1.7445 3.1238
Y 8.9529 -3.8958 4.0776
Nd 0.0000 0.0000 0.0000
```

Output
- ΔH_f (0 K) (eV per atom) = 0.202
- polymorph energy (0 for the lowest one) (meV per atom) = 185
- energy (eV for the cell shown) = -60.07



energy of number 4 (Nd3Dy2Y6)? -60.07 eV for the cell shown



Number 1 is which compound? BaV3Hg



Which of these has the lowest energy? DyAgSeO4



Look up the energy of the fourth one. -60.07 eV for the cell shown